(1)
This record from Alexandria via LeMat-Bulk describes crystalline Rb2PuTcN4 at its relaxed geometry. The functional is GGA-PBE.

Calculated values
The mass density comes out at 5.6 g cm⁻³. The raw formation energy comes out at -0.345 eV per atom.

Structure (CIF):
```
data_Rb2PuTcN4
_chemical_formula_sum 'Rb4 Pu2 Tc2 N8'
_cell_length_a 6.4439
_cell_length_b 7.3131
_cell_length_c 7.1644
_cell_angle_alpha 90.00
_cell_angle_beta 90.00
_cell_angle_gamma 90.00
_space_group_name_H-M_alt 'P m m n'
_space_group_IT_number 59
loop_
_space_group_symop_operation_xyz
'x,y,z'
'-x,-y,-z'
'-x+1/2,-y+1/2,z'
'x+1/2,y+1/2,-z'
'x+1/2,-y,-z'
'-x+1/2,y,z'
'-x,y+1/2,-z'
'x,-y+1/2,z'
loop_
_atom_site_label
_atom_site_type_symbol
_atom_site_fract_x
_atom_site_fract_y
_atom_site_fract_z
Rb1 Rb 0.2500 0.0019 0.2142
Pu1 Pu 0.2500 0.2500 0.6758
Tc1 Tc 0.2500 0.7500 0.6591
N1 N 0.0188 0.7500 0.5077
N2 N 0.2500 0.5376 0.7979
```


(2)
This record from Alexandria via LeMat-Bulk describes crystalline RbPuTcN3 at its relaxed geometry. The functional is GGA-PBE.

Calculated values
The mass density comes out at 7.8 g cm⁻³. The raw formation energy comes out at -0.468 eV per atom.

Structure (CIF):
```
data_RbPuTcN3
_chemical_formula_sum 'Rb4 Pu4 Tc4 N12'
_cell_length_a 13.4091
_cell_length_b 3.8381
_cell_length_c 7.9424
_cell_angle_alpha 90.00
_cell_angle_beta 103.15
_cell_angle_gamma 90.00
_space_group_name_H-M_alt 'C 1 2/m 1'
_space_group_IT_number 12
_space_group_name_Hall '-C 2y'
loop_
_atom_site_label
_atom_site_type_symbol
_atom_site_fract_x
_atom_site_fract_y
_atom_site_fract_z
Rb1 Rb 0.1393 0.0000 0.0625
Pu1 Pu 0.1593 0.0000 0.5793
Tc1 Tc 0.0054 0.5000 0.3485
N1 N 0.0081 0.0000 0.3253
N2 N 0.1477 0.5000 0.7458
N3 N 0.1691 0.5000 0.4028
```


(3)
This record from Alexandria via LeMat-Bulk describes crystalline Rb2PuUN4 at its relaxed geometry. The functional is GGA-PBE.

Calculated values
The mass density comes out at 8.0 g cm⁻³. The raw formation energy comes out at -0.842 eV per atom.

Structure (CIF):
```
data_Rb2PuUN4
_chemical_formula_sum 'Rb2 Pu1 U1 N4'
_cell_length_a 6.1754
_cell_length_b 3.5484
_cell_length_c 7.0040
_cell_angle_alpha 90.00
_cell_angle_beta 107.54
_cell_angle_gamma 90.00
_space_group_name_H-M_alt 'P 1 2/m 1'
_space_group_IT_number 10
_space_group_name_Hall '-P 2y'
loop_
_atom_site_label
_atom_site_type_symbol
_atom_site_fract_x
_atom_site_fract_y
_atom_site_fract_z
Rb1 Rb 0.0000 0.0000 0.0000
Rb2 Rb 0.5000 0.5000 0.0000
Pu1 Pu 0.0000 0.5000 0.5000
U1 U 0.5000 0.0000 0.5000
N1 N 0.2281 0.0000 0.6466
N2 N 0.2993 0.5000 0.3474
```


(4)
This record from Alexandria via LeMat-Bulk describes crystalline Rb2PuWN4 at its relaxed geometry. The functional is GGA-PBE.

Calculated values
The mass density comes out at 6.4 g cm⁻³. The raw formation energy comes out at -0.524 eV per atom.

Structure (CIF):
```
data_Rb2PuWN4
_chemical_formula_sum 'Rb4 Pu2 W2 N8'
_cell_length_a 6.4731
_cell_length_b 7.3284
_cell_length_c 7.2086
_cell_angle_alpha 90.00
_cell_angle_beta 90.00
_cell_angle_gamma 90.00
_space_group_name_H-M_alt 'P m m n'
_space_group_IT_number 59
loop_
_space_group_symop_operation_xyz
'x,y,z'
'-x,-y,-z'
'-x+1/2,-y+1/2,z'
'x+1/2,y+1/2,-z'
'x+1/2,-y,-z'
'-x+1/2,y,z'
'-x,y+1/2,-z'
'x,-y+1/2,z'
loop_
_atom_site_label
_atom_site_type_symbol
_atom_site_fract_x
_atom_site_fract_y
_atom_site_fract_z
Rb1 Rb 0.2500 0.0026 0.2114
Pu1 Pu 0.2500 0.2500 0.6788
W1 W 0.2500 0.7500 0.6558
N1 N 0.0131 0.7500 0.5039
N2 N 0.2500 0.5318 0.7974
```


(5)
This record from Alexandria via LeMat-Bulk describes crystalline Pu2Re2N7 at its relaxed geometry. The functional is GGA-PBE.

Calculated values
The mass density comes out at 9.4 g cm⁻³. The raw formation energy comes out at -0.470 eV per atom.

Structure (CIF):
```
data_Pu2Re2N7
_chemical_formula_sum 'Pu4 Re4 N14'
_cell_length_a 6.8855
_cell_length_b 9.6259
_cell_length_c 5.2283
_cell_angle_alpha 90.00
_cell_angle_beta 100.82
_cell_angle_gamma 90.00
_space_group_name_H-M_alt 'C 1 2/m 1'
_space_group_IT_number 12
_space_group_name_Hall '-C 2y'
loop_
_atom_site_label
_atom_site_type_symbol
_atom_site_fract_x
_atom_site_fract_y
_atom_site_fract_z
Pu1 Pu 0.0000 0.1847 0.0000
Re1 Re 0.2402 0.5000 0.3974
N1 N 0.0000 0.5000 0.5000
N2 N 0.0870 0.0000 0.2747
N3 N 0.2317 0.3379 0.2071
```


(6)
This record from Alexandria via LeMat-Bulk describes crystalline Pu4ReN7 at its relaxed geometry. The functional is GGA-PBE.

Calculated values
The mass density comes out at 13.0 g cm⁻³. The raw formation energy comes out at -0.896 eV per atom.

Structure (CIF):
```
data_Pu4ReN7
_chemical_formula_sum 'Pu8 Re2 N14'
_cell_length_a 12.5647
_cell_length_b 3.8675
_cell_length_c 8.9439
_cell_angle_alpha 90.00
_cell_angle_beta 132.00
_cell_angle_gamma 90.00
_space_group_name_H-M_alt 'C 1 2/m 1'
_space_group_IT_number 12
_space_group_name_Hall '-C 2y'
loop_
_atom_site_label
_atom_site_type_symbol
_atom_site_fract_x
_atom_site_fract_y
_atom_site_fract_z
Pu1 Pu 0.0859 0.0000 0.3884
Pu2 Pu 0.2423 0.5000 0.8250
Re1 Re 0.0000 0.5000 0.0000
N1 N 0.0000 0.0000 0.0000
N2 N 0.0945 0.5000 0.8944
N3 N 0.1268 0.0000 0.6820
N4 N 0.1991 0.5000 0.5476
```


(7)
This record from Alexandria via LeMat-Bulk describes crystalline Pu2ReN4 at its relaxed geometry. The functional is GGA-PBE.

Calculated values
The mass density comes out at 13.4 g cm⁻³. The raw formation energy comes out at -0.799 eV per atom.

Structure (CIF):
```
data_Pu2ReN4
_chemical_formula_sum 'Pu8 Re4 N16'
_cell_length_a 5.4041
_cell_length_b 11.9037
_cell_length_c 5.6358
_cell_angle_alpha 90.00
_cell_angle_beta 90.00
_cell_angle_gamma 90.00
_space_group_name_H-M_alt 'C m c e'
_space_group_IT_number 64
_space_group_name_Hall '-C 2ac 2'
loop_
_atom_site_label
_atom_site_type_symbol
_atom_site_fract_x
_atom_site_fract_y
_atom_site_fract_z
Pu1 Pu 0.0000 0.1436 0.0246
Re1 Re 0.0000 0.0000 0.5000
N1 N 0.0000 0.1785 0.4353
N2 N 0.2500 0.0154 0.7500
```


(8)
This record from Alexandria via LeMat-Bulk describes crystalline PuReN3 at its relaxed geometry. The functional is GGA-PBE.

Calculated values
The mass density comes out at 10.8 g cm⁻³. The raw formation energy comes out at -0.527 eV per atom.

Structure (CIF):
```
data_PuReN3
_chemical_formula_sum 'Pu4 Re4 N12'
_cell_length_a 3.7827
_cell_length_b 14.1787
_cell_length_c 5.3969
_cell_angle_alpha 90.00
_cell_angle_beta 90.00
_cell_angle_gamma 90.00
_space_group_name_H-M_alt 'A m a 2'
_space_group_IT_number 40
_space_group_name_Hall 'A 2 -2a'
loop_
_atom_site_label
_atom_site_type_symbol
_atom_site_fract_x
_atom_site_fract_y
_atom_site_fract_z
Pu1 Pu 0.2500 0.1703 0.0000
Re1 Re 0.2500 0.4181 0.9453
N1 N 0.2500 0.0563 0.3248
N2 N 0.2500 0.3021 0.7551
N3 N 0.2500 0.3835 0.2689
```


(9)
This record from Alexandria via LeMat-Bulk describes crystalline PuReN2 at its relaxed geometry. The functional is GGA-PBE.

Calculated values
The mass density comes out at 13.9 g cm⁻³. The raw formation energy comes out at 0.102 eV per atom.

Structure (CIF):
```
data_PuReN2
_chemical_formula_sum 'Pu3 Re3 N6'
_cell_length_a 3.1059
_cell_length_b 3.1059
_cell_length_c 19.6529
_cell_angle_alpha 90.00
_cell_angle_beta 90.00
_cell_angle_gamma 120.00
_space_group_name_H-M_alt 'R -3 m'
_space_group_IT_number 166
_space_group_name_Hall '-R 3 2"'
loop_
_atom_site_label
_atom_site_type_symbol
_atom_site_fract_x
_atom_site_fract_y
_atom_site_fract_z
Pu1 Pu 0.0000 0.0000 0.0000
Re1 Re 0.0000 0.0000 0.5000
N1 N 0.0000 0.0000 0.1109
```


(10)
This record from Alexandria via LeMat-Bulk describes crystalline PuRe2N8 at its relaxed geometry. The functional is GGA-PBE.

Calculated values
The mass density comes out at 10.3 g cm⁻³. The raw formation energy comes out at 0.942 eV per atom.

Structure (CIF):
```
data_PuRe2N8
_chemical_formula_sum 'Pu2 Re4 N16'
_cell_length_a 5.2219
_cell_length_b 5.2219
_cell_length_c 8.5794
_cell_angle_alpha 90.00
_cell_angle_beta 90.00
_cell_angle_gamma 90.00
_space_group_name_H-M_alt 'I 4/m m m'
_space_group_IT_number 139
_space_group_name_Hall '-I 4 2'
loop_
_atom_site_label
_atom_site_type_symbol
_atom_site_fract_x
_atom_site_fract_y
_atom_site_fract_z
Pu1 Pu 0.0000 0.0000 0.0000
Re1 Re 0.0000 0.5000 0.2500
N1 N 0.2454 0.2454 0.1305
```


| no. | volume (Å³ per cell) |
| --- | --- |
| 1 | 338 |
| 2 | 398 |
| 3 | 146 |
| 4 | 342 |
| 5 | 340 |
| 6 | 323 |
| 7 | 363 |
| 8 | 289 |
| 9 | 164 |
| 10 | 234 |